Entry 1:
Material: Mn2TlCd
Method: DFT, PBE
State: optimized geometry

The crystal system is monoclinic. The calculation puts the electronic total energy at -4.93 eV per atom. As for the calculated volume: 78.4 Å³/f.u.

The space group is C2/m (No. 12) and the conventional cell measures 9.391, 3.169 and 5.378 Å, with angles of 90.00, 101.48 and 90.00 degrees. Symmetry generates all atoms from Mn at (0.248, 0.000, 0.235), Tl at (0.000, 0.000, 0.500) and Cd at (0.000, 0.500, 0.000).



Entry 2:
Material: GeWCl2
Method: DFT, PBE
State: optimized geometry

The crystal system is tetragonal. The calculation puts the electronic total energy at -5.02 eV per atom. As for the calculated volume: 95.1 Å³/f.u. The raw formation energy comes out at 0.295 eV per atom.

The space group is I-42d (No. 122) and the conventional cell measures 8.731, 8.731 and 4.992 Å, with angles of 90.00, 90.00 and 90.00 degrees. Symmetry generates all atoms from Ge at (0.000, 0.000, 0.000), W at (0.000, 0.000, 0.500) and Cl at (0.114, 0.250, 0.625).



Question: Which value of calculated volume does entry 1 give?
Answer: 78.4 Å³/f.u.